# Mg2Si2Tc

An optimized crystal structure of Mg2Si2Tc (PBE-GGA, Alexandria).

Cell lengths 6.753, 6.753, 6.753 Å; angles 148.95, 148.95, 44.48 degrees
Fractional positions:
Mg 0.250 0.750 0.500
Mg 0.750 0.250 0.500
Si 0.092 0.092 0.000
Si 0.908 0.908 0.000
Tc 0.500 0.500 0.000

Output
Crystal system ... tetragonal
Formation energy (no corrections) ... 2.2 eV per formula unit
Polymorph energy (0 for the lowest one) ... 13.74 kcal/mol of atoms